1.
8
Lattice="-2.944 3.399 0.261 -1.085 -3.752 -2.244 -3.110 -3.223 6.891" Properties=species:S:1:pos:R:3 comment="Sc2BeTc | the Open Quantum Materials Database | PBE-GGA | optimized geometry" energy_ev_per_cell=-49.80 pbc="T T T"
Tc 0.000 0.000 0.000
Tc -1.555 -1.612 3.446
Sc -3.624 -0.331 2.305
Sc -4.559 -4.326 4.916
Sc -2.580 0.751 -0.008
Sc -3.515 -3.245 2.603
Be -2.482 -2.174 0.314
Be -4.657 -1.402 4.594

2.
5
Lattice="1.085 -1.837 5.543 3.334 2.522 4.219 -4.233 0.952 -4.056" Properties=species:S:1:pos:R:3 comment="ScBe2Tc2 | the Open Quantum Materials Database | PBE-GGA | optimized geometry" energy_ev_per_cell=-35.35 relative_energy_mev_per_atom=135.6 pbc="T T T"
Tc 0.655 1.909 2.522
Tc -0.470 -0.271 3.184
Be 2.640 0.410 5.833
Be 1.778 0.276 3.929
Sc 0.000 0.000 0.000

3.
16
Lattice="6.213 0.000 0.000 0.000 6.993 0.000 0.000 0.000 6.118" Properties=species:S:1:pos:R:3 comment="Sc2BeTc | the Open Quantum Materials Database | PBE-GGA | optimized geometry" energy_ev_per_cell=-108.75 pbc="T T T"
Tc 0.256 5.245 3.059
Tc 2.851 5.245 0.000
Tc 3.362 1.748 0.000
Tc 5.958 1.748 3.059
Be 3.377 1.748 3.058
Be 2.837 5.245 3.060
Be 5.943 1.748 0.000
Be 0.270 5.245 0.000
Sc 1.553 0.163 4.588
Sc 4.660 3.659 1.530
Sc 4.660 3.659 4.589
Sc 1.553 0.163 1.529
Sc 1.553 3.334 1.529
Sc 4.660 6.831 1.530
Sc 4.660 6.831 4.589
Sc 1.553 3.334 4.588

4.
10
Lattice="-4.021 4.161 2.425 1.796 -1.635 5.785 2.291 2.257 -0.073" Properties=species:S:1:pos:R:3 comment="ScBe2Tc2 | the Open Quantum Materials Database | PBE-GGA | optimized geometry" energy_ev_per_cell=-72.06 relative_energy_mev_per_atom=0.0 pbc="T T T"
Tc -0.069 2.570 6.383
Tc 1.661 0.745 4.267
Tc 0.135 2.213 1.753
Tc -1.595 4.037 3.869
Be -2.456 2.679 5.702
Be 0.231 -0.153 2.507
Be -2.266 2.370 2.154
Be 0.041 0.156 6.056
Sc -1.113 1.263 4.105
Sc 0.000 0.000 0.000

5.
8
Lattice="-0.329 4.545 -0.397 -3.060 -2.703 -2.062 -4.539 0.234 6.431" Properties=species:S:1:pos:R:3 comment="Sc2BeTc | the Open Quantum Materials Database | PBE-GGA | optimized geometry" energy_ev_per_cell=-49.61 pbc="T T T"
Tc -3.284 -0.229 0.101
Tc -4.644 2.304 3.871
Be 0.000 0.000 0.000
Be -2.270 0.117 3.216
Sc -3.116 2.226 1.707
Sc -4.812 -0.150 2.265
Sc -6.296 -0.073 4.368
Sc -1.632 2.149 -0.396

6.
4
Lattice="0.000 3.069 3.069 3.069 0.000 3.069 3.069 3.069 0.000" Properties=species:S:1:pos:R:3 comment="ScBeTc2 | the Open Quantum Materials Database | PBE-GGA | optimized geometry" energy_ev_per_cell=-31.21 pbc="T T T"
Tc 4.603 4.603 4.603
Tc 0.000 0.000 0.000
Sc 1.534 1.534 1.534
Be 3.069 3.069 3.069